(a)
Nb3MoC | PBE-GGA | optimized geometry

Geometry as POSCAR:
```
Nb3MoC
1.0
4.313 0.000 0.000
0.000 4.313 0.000
0.000 0.000 4.313
Mo Nb C
1 3 1
direct
0.500 0.500 0.500
0.500 0.000 0.000
0.000 0.000 0.500
0.000 0.500 0.000
0.000 0.000 0.000
```

Calculated values
The total magnetization is 0.000 μB per atom.

---

(b)
Nb3MoC | PBE-GGA | optimized geometry

Geometry as POSCAR:
```
Nb3MoC
1.0
-1.433 2.354 3.922
-3.490 -3.220 0.658
2.957 -2.658 2.677
Nb C Mo
3 1 1
direct
0.000 0.500 0.000
0.000 0.000 0.500
0.500 0.000 0.000
0.500 0.500 0.500
0.000 0.000 0.000
```

Calculated values
The total magnetization is 0.000 μB per atom.

---

Which structure is the least stable? The one labeled (b).

---

(a)
Nd2MoC2 | PBE-GGA | optimized geometry

Geometry as POSCAR:
```
Nd2MoC2
1.0
-2.006 4.351 2.481
-3.480 -2.206 -4.810
-0.526 -3.596 5.880
Nd C Mo
4 4 2
direct
0.969 0.938 0.223
0.682 0.364 0.625
0.031 0.062 0.777
0.318 0.636 0.375
0.501 0.002 0.784
0.817 0.634 0.388
0.183 0.366 0.612
0.499 0.998 0.216
0.640 0.281 0.126
0.360 0.719 0.874
```

Calculated values
The total magnetization is 0.000 μB per atom.

---

(b)
Nd2MoC2 | PBE-GGA | optimized geometry

Geometry as POSCAR:
```
Nd2MoC2
1.0
-4.690 3.087 -1.605
-2.073 -0.316 5.450
4.981 8.818 2.407
Mo C Nd
4 8 8
direct
0.175 0.825 0.500
0.325 0.325 0.000
0.675 0.675 0.000
0.825 0.175 0.500
0.500 0.000 0.000
0.500 0.500 0.145
0.000 0.500 0.000
0.500 0.500 0.855
0.000 0.000 0.355
0.500 0.000 0.500
0.000 0.000 0.645
0.000 0.500 0.500
0.698 0.698 0.656
0.198 0.802 0.844
0.302 0.302 0.656
0.302 0.302 0.344
0.698 0.698 0.344
0.802 0.198 0.156
0.802 0.198 0.844
0.198 0.802 0.156
```

Calculated values
The total magnetization is 0.000 μB per atom.

---

Which structure is the least stable? The one labeled (a).

---

(a)
NiMo3C | PBE-GGA | optimized geometry

Geometry as POSCAR:
```
NiMo3C
1.0
3.009 -0.002 0.001
1.502 5.247 0.048
0.002 2.342 8.294
C Mo Ni
2 6 2
direct
0.065 0.439 0.677
0.623 0.322 0.382
0.693 0.179 0.643
0.433 0.706 0.689
0.531 0.504 0.127
0.995 0.581 0.416
0.255 0.055 0.370
0.157 0.256 0.932
0.880 0.809 0.912
0.808 0.951 0.148
```

Calculated values
The total magnetization is 0.000 μB per atom.

---

(b)
NiMo3C | PBE-GGA | optimized geometry

Geometry as POSCAR:
```
NiMo3C
1.0
-3.407 1.884 1.264
-1.823 -0.916 -3.549
-1.351 -3.517 1.602
C Mo Ni
1 3 1
direct
0.000 0.000 0.000
0.500 0.000 0.000
0.000 0.500 0.000
0.000 0.000 0.500
0.500 0.500 0.500
```

Calculated values
The total magnetization is 0.000 μB per atom.

---

Which structure is the least stable? The one labeled (b).

---

(a)
NpMoC2 | PBE-GGA | optimized geometry

Geometry as POSCAR:
```
NpMoC2
1.0
3.122 0.000 0.000
1.561 2.703 0.000
1.561 0.901 5.830
Mo C Np
1 2 1
direct
0.670 0.670 0.991
0.073 0.073 0.780
0.261 0.261 0.216
0.496 0.496 0.513
```

Calculated values
The total magnetization is 0.651 μB per atom.

---

(b)
NpMoC2 | PBE-GGA | optimized geometry

Geometry as POSCAR:
```
NpMoC2
1.0
-1.249 2.490 -1.599
-1.171 -0.810 2.880
4.810 3.071 1.027
Np C Mo
1 2 1
direct
0.000 0.000 0.500
0.241 0.482 0.223
0.759 0.518 0.777
0.500 0.000 0.000
```

Calculated values
The total magnetization is 0.570 μB per atom.

---

Which structure is the least stable? The one labeled (a).